No. 1
A plane-wave DFT calculation with PBE was carried out for a geometry-optimized Cd2In2Pb structure.

**Magnetic moment**: 0.000 μB/cell
**Raw total energy**: -10.59 eV for the cell shown
**SG**: I4/mmm (139)
**E_form**: 86 meV per atom
**Distance to the lowest polymorph of the same formula**: 55 meV per atom

```
Cd2In2Pb
1.0
-2.235 2.235 6.862
2.235 -2.235 6.862
2.235 2.235 -6.862
Cd In Pb
2 2 1
Direct
0.101 0.101 0.000
0.899 0.899 0.000
0.250 0.750 0.500
0.750 0.250 0.500
0.500 0.500 0.000
```

No. 2
A plane-wave DFT calculation with PBE was carried out for a geometry-optimized Y2Ga3Au structure.

**Magnetic moment**: 0.000 μB/cell
**Raw total energy**: -59.37 eV for the cell shown
**SG**: Fmmm (69)
**E_form**: -733 meV per atom

```
Y2Ga3Au
1.0
0.000 4.427 7.708
3.702 0.000 7.708
3.702 4.427 0.000
Y Ga Au
4 6 2
Direct
0.243 0.757 0.757
0.250 0.250 0.250
0.750 0.750 0.750
0.757 0.243 0.243
0.170 0.665 0.335
0.335 0.830 0.170
0.337 0.337 0.663
0.663 0.663 0.337
0.665 0.170 0.830
0.830 0.335 0.665
0.169 0.169 0.831
0.831 0.831 0.169
```

No. 3
A plane-wave DFT calculation with PBE was carried out for a geometry-optimized TeAuI2 structure.

**Magnetic moment**: 0.000 μB/cell
**Raw total energy**: -7.18 eV for the cell shown
**Formation energy from raw total energies**: 0.59 eV/atom
**SG**: Fm-3m (225)

```
TeAuI2
1.0
0.000 3.863 3.863
3.863 0.000 3.863
3.863 3.863 0.000
Te Au I
1 1 2
Direct
0.000 0.000 0.000
0.500 0.500 0.500
0.250 0.250 0.250
0.750 0.750 0.750
```

No. 4
A plane-wave DFT calculation with PBE was carried out for a geometry-optimized Si3AsBr structure.

**Magnetic moment**: 0.000 μB/cell
**Raw total energy**: -17.33 eV for the cell shown
**Formation energy from raw total energies**: 1.05 eV/atom
**SG**: Pm-3m (221)
**Distance to the lowest polymorph of the same formula**: 0 meV per atom

```
Si3AsBr
1.0
5.003 0.000 0.000
0.000 5.003 0.000
0.000 0.000 5.003
Si As Br
3 1 1
Direct
0.000 0.000 0.500
0.000 0.500 0.000
0.500 0.000 0.000
0.000 0.000 0.000
0.500 0.500 0.500
```

No. 5
A plane-wave DFT calculation with PBE was carried out for a geometry-optimized La4Co3 structure.

**Magnetic moment**: 3.866 μB/cell
**Raw total energy**: -39.38 eV for the cell shown
**SG**: P6/mmm (191)
**E_form**: 235 meV per atom
**Distance to the lowest polymorph of the same formula**: 197 meV per atom

```
La4Co3
1.0
5.257 0.000 0.000
-2.629 4.553 0.000
0.000 0.000 6.613
La Co
4 3
Direct
0.000 0.000 0.228
0.000 0.000 0.772
0.333 0.667 0.500
0.667 0.333 0.500
0.000 0.500 0.000
0.500 0.000 0.000
0.500 0.500 0.000
```

No. 6
A plane-wave DFT calculation with PBE was carried out for a geometry-optimized La3YPb structure.

**Magnetic moment**: 0.000 μB/cell
**Raw total energy**: -22.54 eV for the cell shown
**SG**: Pm-3m (221)
**E_form**: 484 meV per atom
**Distance to the lowest polymorph of the same formula**: 163 meV per atom

```
La3YPb
1.0
5.769 0.000 0.000
0.000 5.769 0.000
0.000 0.000 5.769
La Y Pb
3 1 1
Direct
0.000 0.000 0.500
0.000 0.500 0.000
0.500 0.000 0.000
0.000 0.000 0.000
0.500 0.500 0.500
```

No. 7
A plane-wave DFT calculation with PBE was carried out for a geometry-optimized Ca2SbPd2 structure.

**Magnetic moment**: 0.000 μB/cell
**Raw total energy**: -21.49 eV for the cell shown
**Formation energy from raw total energies**: -0.60 eV/atom
**SG**: I4/mmm (139)
**Distance to the lowest polymorph of the same formula**: 255 meV per atom

```
Ca2SbPd2
1.0
-1.907 1.907 8.536
1.907 -1.907 8.536
1.907 1.907 -8.536
Ca Sb Pd
2 1 2
Direct
0.115 0.115 0.000
0.885 0.885 0.000
0.500 0.500 0.000
0.250 0.750 0.500
0.750 0.250 0.500
```

No. 8
A plane-wave DFT calculation with PBE was carried out for a geometry-optimized Tl2PF structure.

**Magnetic moment**: 0.000 μB/cell
**Raw total energy**: -14.06 eV for the cell shown
**Formation energy from raw total energies**: -0.51 eV/atom
**SG**: Fm-3m (225)
**Distance to the lowest polymorph of the same formula**: 0 meV per atom

```
Tl2PF
1.0
0.000 3.451 3.451
3.451 0.000 3.451
3.451 3.451 0.000
Tl P F
2 1 1
Direct
0.250 0.250 0.250
0.750 0.750 0.750
0.000 0.000 0.000
0.500 0.500 0.500
```

No. 9
A plane-wave DFT calculation with PBE was carried out for a geometry-optimized AgMo2P structure.

**Magnetic moment**: 0.000 μB/cell
**Raw total energy**: -27.67 eV for the cell shown
**SG**: F-43m (216)
**E_form**: 564 meV per atom

```
AgMo2P
1.0
0.000 3.147 3.147
3.147 0.000 3.147
3.147 3.147 0.000
Ag Mo P
1 2 1
Direct
0.000 0.000 0.000
0.500 0.500 0.500
0.750 0.750 0.750
0.250 0.250 0.250
```

No. 10
A plane-wave DFT calculation with PBE was carried out for a geometry-optimized Dy2HoPuP4 structure.

**Magnetic moment**: 4.877 μB/cell
**Raw total energy**: -61.67 eV for the cell shown
**SG**: P2/m (10)
**E_form**: -1490 meV per atom

```
Dy2HoPuP4
1.0
6.910 0.000 0.000
0.000 4.004 0.000
-2.306 0.000 6.516
Dy Ho Pu P
2 1 1 4
Direct
0.000 0.000 0.000
0.500 0.500 0.000
0.000 0.500 0.500
0.500 0.000 0.500
0.251 0.000 0.748
0.253 0.500 0.254
0.747 0.500 0.746
0.749 0.000 0.252
```

No. 11
A plane-wave DFT calculation with PBE was carried out for a geometry-optimized PmPa2BeO8 structure.

**Magnetic moment**: 0.000 μB/cell
**Raw total energy**: -101.01 eV for the cell shown
**Formation energy from raw total energies**: -2.82 eV/atom
**SG**: P-3m1 (164)

```
PmPa2BeO8
1.0
4.933 0.000 0.000
-2.466 4.272 0.000
0.000 0.000 6.582
Pm Pa Be O
1 2 1 8
Direct
0.000 0.000 0.000
0.333 0.667 0.357
0.667 0.333 0.643
0.000 0.000 0.500
0.165 0.329 0.665
0.165 0.835 0.665
0.329 0.165 0.335
0.333 0.667 0.061
0.667 0.333 0.939
0.671 0.835 0.665
0.835 0.165 0.335
0.835 0.671 0.335
```

No. 12
A plane-wave DFT calculation with PBE was carried out for a geometry-optimized ZrSiAsSe2 structure.

**Magnetic moment**: 0.000 μB/cell
**Raw total energy**: -24.87 eV for the cell shown
**Formation energy from raw total energies**: 0.14 eV/atom
**SG**: P4/mmm (123)
**Distance to the lowest polymorph of the same formula**: 0 meV per atom

```
ZrSiAsSe2
1.0
4.745 0.000 0.000
0.000 4.745 0.000
0.000 0.000 4.782
Zr Si As Se
1 1 1 2
Direct
0.000 0.000 0.000
0.500 0.500 0.500
0.500 0.500 0.000
0.000 0.500 0.500
0.500 0.000 0.500
```